Here is an optimized crystal structure of Li2BeSnO4 from the Alexandria database. Energies are from PBE.

Results
Uncorrected formation energy: -16.097 eV per formula unit
N(E_F): 0.00 states/eV/atom
Magnetization: 0.00 μB per formula unit
E: -47.487 eV/cell

a b c (Å): 5.2451 5.2451 5.2451
angles (deg): 128.68 128.68 75.53
Fractional positions:
Li1 0.0000 0.0000 0.0000
Li2 0.7500 0.2500 0.5000
Be1 0.2500 0.7500 0.5000
Sn1 0.5000 0.5000 0.0000
O1 0.1445 0.6448 0.0659
O2 0.3552 0.4211 0.4997
O3 0.5789 0.0786 0.9341
O4 0.9214 0.8555 0.5003

***

Here is an optimized crystal structure of Tm3MgAu4 from the Alexandria database. Energies are from PBE.

Results
N(E_F): 0.57 states/eV/atom
Energy of formation: -79.41 kJ/mol of atoms
Magnetization: 0.00 μB per formula unit
E: -34.703 eV/cell

a b c (Å): 4.9569 4.9569 6.9772
angles (deg): 90.00 90.00 90.00
Fractional positions:
Tm1 0.0000 0.0000 0.0000
Tm2 0.0000 0.0000 0.5000
Tm3 0.5000 0.5000 0.0000
Mg1 0.5000 0.5000 0.5000
Au1 0.0000 0.5000 0.2517
Au2 0.0000 0.5000 0.7483
Au3 0.5000 0.0000 0.2517
Au4 0.5000 0.0000 0.7483

***

Here is an optimized crystal structure of Mg2SbCl from the Alexandria database. Energies are from PBE.

Results
Uncorrected formation energy: -1.793 eV per formula unit
Offset from the most stable computed form: 292.8 meV per atom
N(E_F): 0.28 states/eV/atom
Magnetization: 0.00 μB per formula unit
E: -10.951 eV/cell

a b c (Å): 3.6144 3.6144 7.7834
angles (deg): 90.00 90.00 106.56
Fractional positions:
Mg1 0.0000 0.0000 0.2438
Mg2 0.0000 0.0000 0.7562
Sb1 0.5000 0.5000 0.0000
Cl1 0.5000 0.5000 0.5000

***

Here is an optimized crystal structure of ReMo2HOs from the Alexandria database. Energies are from PBE.

Results
Offset from the most stable computed form: 6.1 meV per atom
N(E_F): 0.91 states/eV/atom
Magnetization: 0.00 μB per formula unit
E: -48.122 eV/cell

a b c (Å): 4.0002 4.0002 3.9396
angles (deg): 90.00 90.00 90.00
Fractional positions:
Re1 0.0000 0.0000 0.0000
Mo1 0.0000 0.5000 0.5000
Mo2 0.5000 0.0000 0.5000
H1 0.5000 0.5000 0.5000
Os1 0.5000 0.5000 0.0000

***

Here is an optimized crystal structure of Ac4SiI4 from the Alexandria database. Energies are from PBE.

Results
Uncorrected formation energy: -6.435 eV per formula unit
N(E_F): 0.80 states/eV/atom
Magnetization: 0.00 μB per formula unit
E: -34.492 eV/cell

a b c (Å): 8.5483 8.5483 8.5483
angles (deg): 125.01 125.01 81.52
Fractional positions:
Ac1 0.0476 0.6545 0.0000
Ac2 0.3455 0.3455 0.3930
Ac3 0.6545 0.0476 0.0000
Ac4 0.9524 0.9524 0.6070
Si1 0.0000 0.0000 0.0000
I1 0.0000 0.5000 0.5000
I2 0.3503 0.3503 0.0000
I3 0.5000 0.0000 0.5000
I4 0.6497 0.6497 0.0000

***

Here is an optimized crystal structure of Mn2Zn from the Alexandria database. Energies are from PBE.

Results
N(E_F): 1.04 states/eV/atom
Energy of formation: 37.33 kJ/mol of atoms
Magnetization: 0.87 μB per formula unit
E: -36.905 eV/cell

a b c (Å): 8.2496 8.2496 8.2496
angles (deg): 161.78 151.22 34.28
Fractional positions:
Mn1 0.2889 0.0389 0.2500
Mn2 0.4330 0.1830 0.2500
Mn3 0.5670 0.8170 0.7500
Mn4 0.7111 0.9611 0.7500
Zn1 0.1374 0.3874 0.7500
Zn2 0.8626 0.6126 0.2500

***

Here is an optimized crystal structure of Zn2CdPd8 from the Alexandria database. Energies are from PBE.

Results
Offset from the most stable computed form: 0.0 meV per atom
N(E_F): 0.66 states/eV/atom
Energy of formation: -31.57 kJ/mol of atoms
Magnetization: 0.00 μB per formula unit
E: -48.605 eV/cell

a b c (Å): 7.2867 7.2867 6.3075
angles (deg): 106.74 106.74 32.16
Fractional positions:
Zn1 0.2243 0.2243 0.1490
Zn2 0.7757 0.7757 0.8510
Cd1 0.5000 0.5000 0.5000
Pd1 0.0455 0.0455 0.2254
Pd2 0.1465 0.1465 0.7057
Pd3 0.3179 0.3179 0.5812
Pd4 0.4000 0.4000 0.0322
Pd5 0.6000 0.6000 0.9678
Pd6 0.6821 0.6821 0.4188
Pd7 0.8535 0.8535 0.2943
Pd8 0.9545 0.9545 0.7746

***

Here is an optimized crystal structure of ScAlGa from the Alexandria database. Energies are from PBE.

Results
N(E_F): 0.45 states/eV/atom
Energy of formation: -50.95 kJ/mol of atoms
Magnetization: 0.00 μB per formula unit
E: -29.370 eV/cell

a b c (Å): 7.5478 7.5478 7.5478
angles (deg): 149.40 149.40 43.82
Fractional positions:
Sc1 0.1619 0.1619 0.0000
Sc2 0.8381 0.8381 0.0000
Al1 0.0000 0.5000 0.5000
Al2 0.5000 0.0000 0.5000
Ga1 0.3627 0.3627 0.0000
Ga2 0.6373 0.6373 0.0000

***

Here is an optimized crystal structure of PuB6W2 from the Alexandria database. Energies are from PBE.

Results
N(E_F): 0.86 states/eV/atom
Energy of formation: -41.10 kJ/mol of atoms
Magnetization: 4.48 μB per formula unit
E: -84.137 eV/cell

a b c (Å): 5.7557 5.7557 5.7557
angles (deg): 148.42 105.66 83.00
Fractional positions:
Pu1 0.0000 0.0000 0.0000
B1 0.0644 0.3063 0.7581
B2 0.3296 0.5000 0.8296
B3 0.4519 0.6937 0.7581
B4 0.5481 0.3063 0.2419
B5 0.6704 0.5000 0.1704
B6 0.9356 0.6937 0.2419
W1 0.3461 0.8461 0.5000
W2 0.6539 0.1539 0.5000

***

Here is an optimized crystal structure of KAg3Bi3 from the Alexandria database. Energies are from PBE.

Results
Offset from the most stable computed form: 179.7 meV per atom
N(E_F): 0.57 states/eV/atom
Energy of formation: 14.10 kJ/mol of atoms
Magnetization: 0.00 μB per formula unit
E: -40.542 eV/cell

a b c (Å): 7.9612 7.9612 7.9612
angles (deg): 90.00 90.00 90.00
Fractional positions:
K1 0.0000 0.0000 0.0000
K2 0.5000 0.5000 0.5000
Ag1 0.0000 0.2500 0.5000
Ag2 0.0000 0.7500 0.5000
Ag3 0.2500 0.5000 0.0000
Ag4 0.5000 0.0000 0.2500
Ag5 0.5000 0.0000 0.7500
Ag6 0.7500 0.5000 0.0000
Bi1 0.0000 0.5000 0.2500
Bi2 0.0000 0.5000 0.7500
Bi3 0.2500 0.0000 0.5000
Bi4 0.5000 0.2500 0.0000
Bi5 0.5000 0.7500 0.0000
Bi6 0.7500 0.0000 0.5000

***

Here is an optimized crystal structure of RbTl2Ag2 from the Alexandria database. Energies are from PBE.

Results
Offset from the most stable computed form: 22.9 meV per atom
N(E_F): 0.54 states/eV/atom
Energy of formation: 4.35 kJ/mol of atoms
Magnetization: 0.00 μB per formula unit
E: -11.177 eV/cell

a b c (Å): 6.9183 6.9183 6.9183
angles (deg): 136.44 136.44 63.30
Fractional positions:
Rb1 0.0000 0.0000 0.0000
Tl1 0.2500 0.7500 0.5000
Tl2 0.7500 0.2500 0.5000
Ag1 0.3822 0.3822 0.0000
Ag2 0.6178 0.6178 0.0000

***

Here is an optimized crystal structure of YTa2RuW from the Alexandria database. Energies are from PBE.

Results
N(E_F): 1.30 states/eV/atom
Energy of formation: 275.59 kJ/mol of atoms
Magnetization: 0.00 μB per formula unit
E: -38.117 eV/cell

a b c (Å): 4.8225 4.8225 4.6792
angles (deg): 90.00 90.00 90.00
Fractional positions:
Y1 0.0000 0.0000 0.0000
Ta1 0.0000 0.5000 0.0000
Ta2 0.5000 0.0000 0.0000
Ru1 0.5000 0.5000 0.5000
W1 0.0000 0.0000 0.5000